Entry 1:
Entry from the Alexandria database: a geometry-optimized Tl2ZnCl2F2 structure (PBE).

Values from the calculation:
- Magnetization: 0.0 μB/f.u.
- DFT total energy: -3.464 eV per atom
- DOS(E_F): 0.000 states/eV per cell
- Space-group type: No. 12

Unit cell a=6.6264 b=6.6264 c=7.7229 alpha=118.35 beta=118.35 gamma=33.55
Atoms (fractional coordinates):
Tl: 0.1795 0.1795 0.2157
Tl: 0.8205 0.8205 0.7843
Zn: 0.0000 0.0000 0.5000
Cl: 0.4507 0.4507 0.2471
Cl: 0.5493 0.5493 0.7529
F: 0.1717 0.1717 0.5593
F: 0.8283 0.8283 0.4407

---

Entry 2:
Entry from the Alexandria database: a geometry-optimized ZrTl2Cl2F4 structure (PBE).

Values from the calculation:
- Magnetization: 0.0 μB/f.u.
- DFT total energy: -5.155 eV per atom
- DOS(E_F): 0.000 states/eV per cell
- Space-group type: No. 12

Unit cell a=7.0513 b=7.0513 c=5.3899 alpha=93.53 beta=93.53 gamma=52.45
Atoms (fractional coordinates):
Zr: 0.0000 0.0000 0.0000
Tl: 0.3585 0.3585 0.3706
Tl: 0.6415 0.6415 0.6294
Cl: 0.1843 0.1843 0.8380
Cl: 0.8157 0.8157 0.1620
F: 0.1901 0.7197 0.7550
F: 0.2803 0.8099 0.2450
F: 0.7197 0.1901 0.7550
F: 0.8099 0.2803 0.2450

---

Entry 3:
Entry from the Alexandria database: a geometry-optimized ZrTl2Cl4F2 structure (PBE).

Values from the calculation:
- Magnetization: 0.0 μB/f.u.
- DFT total energy: -4.679 eV per atom
- DOS(E_F): 0.000 states/eV per cell
- Space-group type: No. 12

Unit cell a=6.8559 b=6.8559 c=5.7216 alpha=99.24 beta=99.24 gamma=64.97
Atoms (fractional coordinates):
Zr: 0.0000 0.0000 0.0000
Tl: 0.3167 0.3167 0.6984
Tl: 0.6833 0.6833 0.3016
Cl: 0.1444 0.6546 0.1939
Cl: 0.3454 0.8556 0.8061
Cl: 0.6546 0.1444 0.1939
Cl: 0.8556 0.3454 0.8061
F: 0.1368 0.1368 0.2761
F: 0.8632 0.8632 0.7239

---

Entry 4:
Entry from the Alexandria database: a geometry-optimized ZrTl2Cl5F structure (PBE).

Values from the calculation:
- Magnetization: 0.0 μB/f.u.
- DFT total energy: -4.431 eV per atom
- DOS(E_F): 0.000 states/eV per cell
- Space-group type: No. 107

Unit cell a=7.1498 b=7.1498 c=7.1498 alpha=118.36 beta=118.36 gamma=92.86
Atoms (fractional coordinates):
Zr: 0.0000 0.0000 0.0000
Tl: 0.2287 0.7287 0.5000
Tl: 0.7287 0.2287 0.5000
Cl: 0.2477 0.2477 0.4832
Cl: 0.2477 0.7645 0.0000
Cl: 0.2540 0.2540 0.0000
Cl: 0.7645 0.2477 0.0000
Cl: 0.7645 0.7645 0.5168
F: 0.7990 0.7990 0.0000

---

Entry 5:
Entry from the Alexandria database: a geometry-optimized TmClF2 structure (PBE).

Values from the calculation:
- Magnetization: 0.0 μB/f.u.
- DFT total energy: -6.008 eV per atom
- DOS(E_F): 0.000 states/eV per cell
- Space-group type: No. 63

Unit cell a=5.2407 b=5.2407 c=6.8384 alpha=90.00 beta=90.00 gamma=139.02
Atoms (fractional coordinates):
Tm: 0.2412 0.7588 0.7500
Tm: 0.7588 0.2412 0.2500
Cl: 0.0456 0.9544 0.2500
Cl: 0.9544 0.0456 0.7500
F: 0.3190 0.6810 0.0681
F: 0.3190 0.6810 0.4319
F: 0.6810 0.3190 0.5681
F: 0.6810 0.3190 0.9319

---

Entry 6:
Entry from the Alexandria database: a geometry-optimized UCl2F structure (PBE).

Values from the calculation:
- Magnetization: 3.0 μB/f.u.
- DFT total energy: -6.484 eV per atom
- DOS(E_F): 3.925 states/eV per cell
- Space-group type: No. 63

Unit cell a=6.8186 b=6.8186 c=8.5035 alpha=90.00 beta=90.00 gamma=148.28
Atoms (fractional coordinates):
U: 0.2428 0.7572 0.7500
U: 0.7572 0.2428 0.2500
Cl: 0.1437 0.8563 0.0569
Cl: 0.1437 0.8563 0.4431
Cl: 0.8563 0.1437 0.5569
Cl: 0.8563 0.1437 0.9431
F: 0.3590 0.6410 0.2500
F: 0.6410 0.3590 0.7500

---

Entry 7:
Entry from the Alexandria database: a geometry-optimized UClF3 structure (PBE).

Values from the calculation:
- Magnetization: 2.0 μB/f.u.
- DOS(E_F): 8.196 states/eV per cell
- Space-group type: No. 31
- Energy above the lowest structure with this stoichiometry: 0 meV/atom

Unit cell a=6.7795 b=5.1052 c=5.5910 alpha=90.00 beta=90.00 gamma=90.00
Atoms (fractional coordinates):
U: 0.0000 0.0579 0.0000
U: 0.5000 0.9421 0.5000
Cl: 0.0000 0.6067 0.7664
Cl: 0.5000 0.3933 0.2664
F: 0.0000 0.3428 0.2549
F: 0.2335 0.8890 0.2440
F: 0.2665 0.1110 0.7440
F: 0.5000 0.6572 0.7549
F: 0.7335 0.1110 0.7440
F: 0.7665 0.8890 0.2440

---

Entry 8:
Entry from the Alexandria database: a geometry-optimized UCl6F2 structure (PBE).

Values from the calculation:
- Magnetization: 0.0 μB/f.u.
- DFT total energy: -4.148 eV per atom
- Space-group type: No. 14

Unit cell a=7.0871 b=8.8872 c=9.4399 alpha=90.00 beta=111.45 gamma=90.00
Atoms (fractional coordinates):
U: 0.0000 0.0000 0.0000
U: 0.0000 0.5000 0.5000
Cl: 0.0005 0.1048 0.2781
Cl: 0.0005 0.3952 0.7781
Cl: 0.2841 0.6826 0.5603
Cl: 0.2841 0.8174 0.0603
Cl: 0.2852 0.1817 0.0955
Cl: 0.2852 0.3183 0.5955
Cl: 0.7148 0.6817 0.4045
Cl: 0.7148 0.8183 0.9045
Cl: 0.7159 0.1826 0.9397
Cl: 0.7159 0.3174 0.4397
Cl: 0.9995 0.6048 0.2219
Cl: 0.9995 0.8952 0.7219
F: 0.0000 0.1374 0.7903
F: 0.0000 0.3626 0.2903
F: 0.0000 0.6374 0.7097
F: 0.0000 0.8626 0.2097

---

Entry 9:
Entry from the Alexandria database: a geometry-optimized UClF3 structure (PBE).

Values from the calculation:
- Magnetization: 2.0 μB/f.u.
- DOS(E_F): 7.077 states/eV per cell
- Space-group type: No. 221
- Energy above the lowest structure with this stoichiometry: 148 meV/atom

Unit cell a=4.4610 b=4.4610 c=4.4610 alpha=90.00 beta=90.00 gamma=90.00
Atoms (fractional coordinates):
U: 0.0000 0.0000 0.0000
Cl: 0.5000 0.5000 0.5000
F: 0.0000 0.0000 0.5000
F: 0.0000 0.5000 0.0000
F: 0.5000 0.0000 0.0000

---

Entry 10:
Entry from the Alexandria database: a geometry-optimized U2Cl8F structure (PBE).

Values from the calculation:
- Magnetization: 3.0 μB/f.u.
- DFT total energy: -5.442 eV per atom
- DOS(E_F): 3.215 states/eV per cell
- Space-group type: No. 12

Unit cell a=7.4125 b=7.4125 c=7.8692 alpha=92.77 beta=92.77 gamma=104.82
Atoms (fractional coordinates):
U: 0.1001 0.1001 0.2727
U: 0.8999 0.8999 0.7273
Cl: 0.1210 0.6976 0.7307
Cl: 0.1756 0.1756 0.6109
Cl: 0.3024 0.8790 0.2693
Cl: 0.3607 0.3607 0.1937
Cl: 0.6393 0.6393 0.8063
Cl: 0.6976 0.1210 0.7307
Cl: 0.8244 0.8244 0.3891
Cl: 0.8790 0.3024 0.2693
F: 0.0000 0.0000 0.0000

---

Entry 11:
Entry from the Alexandria database: a geometry-optimized UClF2 structure (PBE).

Values from the calculation:
- Magnetization: 3.0 μB/f.u.
- DOS(E_F): 8.974 states/eV per cell
- Space-group type: No. 63
- Energy above the lowest structure with this stoichiometry: 0 meV/atom

Unit cell a=5.4583 b=5.4583 c=7.3379 alpha=90.00 beta=90.00 gamma=137.68
Atoms (fractional coordinates):
U: 0.2300 0.7700 0.7500
U: 0.7700 0.2300 0.2500
Cl: 0.0520 0.9480 0.2500
Cl: 0.9480 0.0520 0.7500
F: 0.3228 0.6772 0.0660
F: 0.3228 0.6772 0.4340
F: 0.6772 0.3228 0.5660
F: 0.6772 0.3228 0.9340

---

Entry 12:
Entry from the Alexandria database: a geometry-optimized UCl3F2 structure (PBE).

Values from the calculation:
- Magnetization: 1.0 μB/f.u.
- DFT total energy: -5.791 eV per atom
- DOS(E_F): 0.223 states/eV per cell
- Space-group type: No. 15

Unit cell a=7.2695 b=7.2695 c=6.9546 alpha=92.11 beta=92.11 gamma=95.31
Atoms (fractional coordinates):
U: 0.0833 0.9167 0.7500
U: 0.9167 0.0833 0.2500
Cl: 0.1721 0.3338 0.2701
Cl: 0.3140 0.6860 0.7500
Cl: 0.3338 0.1721 0.7701
Cl: 0.6662 0.8279 0.2299
Cl: 0.6860 0.3140 0.2500
Cl: 0.8279 0.6662 0.7299
F: 0.1051 0.8940 0.0640
F: 0.1060 0.8949 0.4360
F: 0.8940 0.1051 0.5640
F: 0.8949 0.1060 0.9360